(1)
# Ti2Tl2CuTe6 | the Alexandria database | PBE-GGA | relaxed
data_Ti2Tl2CuTe6
_symmetry_space_group_name_H-M 'C 1 2/m 1'
_symmetry_Int_Tables_number 12
_cell_length_a 6.765
_cell_length_b 12.491
_cell_length_c 8.440
_cell_angle_alpha 90.00
_cell_angle_beta 108.40
_cell_angle_gamma 90.00
loop_
_symmetry_equiv_pos_as_xyz
'x,y,z'
'-x,-y,-z'
'-x,y,-z'
'x,-y,z'
'x+1/2,y+1/2,z'
'-x+1/2,-y+1/2,-z'
'-x+1/2,y+1/2,-z'
'x+1/2,-y+1/2,z'
loop_
_atom_site_label
_atom_site_fract_x
_atom_site_fract_y
_atom_site_fract_z
Ti1 0.000 0.183 0.000
Tl1 0.000 0.347 0.500
Cu1 0.000 0.500 0.000
Te1 0.234 0.000 0.169
Te2 0.247 0.169 0.794
# Raw formation energy ... -0.399 eV per atom
# VASP energy ... -4.3509 eV/atom
# D(E_F) ... 0.66 states/eV/atom
# Size of the total moment ... 0.00 μB/f.u.

=====

(2)
# GeAsSe2S | the Alexandria database | PBE-GGA | relaxed
data_GeAsSe2S
_symmetry_space_group_name_H-M 'P 4/m m m'
_symmetry_Int_Tables_number 123
_symmetry_space_group_name_Hall '-P 4 2'
_cell_length_a 4.862
_cell_length_b 4.862
_cell_length_c 5.163
_cell_angle_alpha 90.00
_cell_angle_beta 90.00
_cell_angle_gamma 90.00
loop_
_atom_site_label
_atom_site_fract_x
_atom_site_fract_y
_atom_site_fract_z
Ge1 0.000 0.000 0.000
As1 0.000 0.000 0.500
Se1 0.000 0.500 0.000
S1 0.500 0.500 0.500
# Raw formation energy ... 0.881 eV per atom
# VASP energy ... -3.1918 eV/atom
# D(E_F) ... 1.05 states/eV/atom
# Size of the total moment ... 0.51 μB/f.u.